First-principles (PBE with a Hubbard U) data for a relaxed Fe3OsO crystal, as listed in the Alexandria database.

The magnetization comes out at 12.4 Bohr magnetons per cell. As for the energy above the most stable polymorph in this dataset: 0 meV per atom.

The structure belongs to space group Pm-3m (No. 221); the cell edges are 4.104, 4.104 and 4.104 Å and the angles 90.00°, 90.00° and 90.00°. The distinct sites, in fractional coordinates, are Fe at (0.000, 0.000, 0.500), Os at (0.500, 0.500, 0.500) and O at (0.000, 0.000, 0.000).